Entry 1:
A plane-wave DFT calculation with SCAN was carried out for a crystal of ReRuAu relaxed with PBEsol.

## Properties
- Excess energy over the best structure of this formula in the dataset: 0.000 eV/atom
- Calculated formation energy: 0.58 eV/f.u.
- Raw total energy: -58.168 eV per atom

a b c (Å): 2.7917 2.7917 11.5720
angles (deg): 90.00 90.00 90.00
With the nearest neighbours (Å) after each atom.
Space group I4mm (No. 107)
Asymmetric unit:
Re 0.0000 0.0000 0.0000 (multiplicity 2)  4 Ru 2.55, 4 Re 2.79
Ru 0.0000 0.0000 0.6393 (multiplicity 2)  4 Re 2.55, 4 Ru 2.79
Au 0.0000 0.0000 0.3201 (multiplicity 2)  4 Au 2.79, 4 Re 2.87, 4 Ru 2.88

Entry 2:
A plane-wave DFT calculation with SCAN was carried out for a crystal of BaCaCu2 relaxed with PBEsol.

## Properties
- Excess energy over the best structure of this formula in the dataset: 0.000 eV/atom
- Calculated formation energy: -0.08 eV/f.u.
- Raw total energy: -19.924 eV per atom

a b c (Å): 4.3098 4.2582 11.7227
angles (deg): 90.00 90.00 90.00
With the nearest neighbours (Å) after each atom.
Space group Amm2 (No. 38)
Asymmetric unit:
Ba 0.0000 0.0000 0.0000 (multiplicity 2)  7 Cu 3.25-3.41
Ca 0.5000 0.0000 0.7237 (multiplicity 2)  6 Cu 2.92-3.13
Cu 0.0000 0.0000 0.2907 (multiplicity 2)  2 Cu 2.47
Cu 0.5000 0.0000 0.3939 (multiplicity 2)  2 Cu 2.47

Entry 3:
A plane-wave DFT calculation with SCAN was carried out for a crystal of PrCrO4 relaxed with PBEsol.

## Properties
- ΔE_f (raw): -2.834 eV per atom
- Raw total energy: -17.273 eV per atom

a b c (Å): 6.3936 10.3678 10.4128
angles (deg): 90.00 90.00 90.00
With the nearest neighbours (Å) after each atom.
Space group Fddd (No. 70, origin choice 2)
Asymmetric unit:
Pr 0.1250 0.1250 0.1250 (multiplicity 8)  8 O 2.42-2.49
Cr 0.1250 0.1250 0.6250 (multiplicity 8)  4 O 1.70
O 0.0440 0.2857 0.9637 (multiplicity 32)  1 Cr 1.70

Entry 4:
A plane-wave DFT calculation with SCAN was carried out for a crystal of Na2ZrZnCl relaxed with PBEsol.

## Properties
- ΔE_f (raw): -0.043 eV per atom
- Raw total energy: -12.167 eV per atom

a b c (Å): 4.8320 4.8320 5.0433
angles (deg): 90.00 90.00 90.00
With the nearest neighbours (Å) after each atom.
Space group P4/mmm (No. 123)
Asymmetric unit:
Na 0.0000 0.5000 0.0000 (multiplicity 2)  2 Cl 2.42
Zr 0.0000 0.0000 0.5000 (multiplicity 1)  2 Cl 2.52
Zn 0.5000 0.5000 0.5000 (multiplicity 1)  4 Zr 3.42, 8 Na 3.49
Cl 0.0000 0.0000 0.0000 (multiplicity 1)  4 Na 2.42, 2 Zr 2.52

Entry 5:
A plane-wave DFT calculation with SCAN was carried out for a crystal of KIn4Pb relaxed with PBEsol.

## Properties
- Calculated formation energy: -0.36 eV/f.u.
- Raw total energy: -36.335 eV per atom

a b c (Å): 8.7793 8.7793 8.7793
angles (deg): 90.00 90.00 90.00
With the nearest neighbours (Å) after each atom.
Space group F-43m (No. 216)
Asymmetric unit:
K 0.0000 0.0000 0.0000 (multiplicity 4)  12 In 3.64, 4 Pb 3.80
In 0.1246 0.1246 0.6246 (multiplicity 16)  6 In 3.09-3.11
Pb 0.2500 0.2500 0.2500 (multiplicity 4)  12 In 3.64, 4 K 3.80

Entry 6:
A plane-wave DFT calculation with SCAN was carried out for a crystal of MgInHg relaxed with PBEsol.

## Properties
- Calculated formation energy: -0.46 eV/f.u.
- Raw total energy: -35.661 eV per atom

a b c (Å): 3.3842 3.3842 6.8531
angles (deg): 90.00 90.00 120.00
With the nearest neighbours (Å) after each atom.
Space group P3m1 (No. 156)
Asymmetric unit:
Mg 0.0000 0.0000 0.0000 (multiplicity 1)  3 Hg 2.89, 3 In 3.08
In 0.6667 0.3333 0.3478 (multiplicity 1)  3 Hg 3.05, 3 Mg 3.08, 6 In 3.38
Hg 0.3333 0.6667 0.6896 (multiplicity 1)  3 Mg 2.89, 3 In 3.05

Entry 7:
A plane-wave DFT calculation with SCAN was carried out for a crystal of YCo2S relaxed with PBEsol.

## Properties
- ΔE_f (raw): -0.406 eV per atom
- Raw total energy: -18.426 eV per atom

a b c (Å): 4.3163 4.3163 14.3308
angles (deg): 90.00 90.00 90.00
With the nearest neighbours (Å) after each atom.
Space group I-42d (No. 122)
Asymmetric unit:
Y 0.0000 0.0000 0.0000 (multiplicity 4)  8 Co 2.85-3.17, 4 S 3.05
Co 0.0528 0.2500 0.6250 (multiplicity 8)  2 S 2.10, 2 Co 2.21
S 0.0000 0.0000 0.5000 (multiplicity 4)  4 Co 2.10

Entry 8:
A plane-wave DFT calculation with SCAN was carried out for a crystal of AlMo2W relaxed with PBEsol.

## Properties
- Calculated formation energy: -0.20 eV/f.u.
- Raw total energy: -36.853 eV per atom

a b c (Å): 3.1650 4.4281 8.6940
angles (deg): 90.00 90.00 90.00
With the nearest neighbours (Å) after each atom.
Space group Cmm2 (No. 35)
Asymmetric unit:
Al 0.0000 0.0000 0.0000 (multiplicity 2)  2 Mo 2.67, 2 W 2.69, 4 Al 2.72
Mo 0.0000 0.0000 0.4973 (multiplicity 2)  6 Mo 2.69-2.72, 2 W 2.71
Mo 0.0000 0.5000 0.2470 (multiplicity 2)  2 Al 2.67, 6 Mo 2.69-2.72
W 0.0000 0.5000 0.7498 (multiplicity 2)  2 Al 2.69, 2 Mo 2.71, 4 W 2.72

Entry 9:
A plane-wave DFT calculation with SCAN was carried out for a crystal of Cd2SiTc2 relaxed with PBEsol.

## Properties
- ΔE_f (raw): 0.739 eV per atom
- Raw total energy: -27.454 eV per atom

a b c (Å): 3.3933 3.3933 16.3225
angles (deg): 90.00 90.00 90.00
With the nearest neighbours (Å) after each atom.
Space group I4/mmm (No. 139)
Asymmetric unit:
Cd 0.0000 0.0000 0.1029 (multiplicity 4)  4 Si 2.93, 4 Tc 2.94
Si 0.0000 0.0000 0.5000 (multiplicity 2)  8 Cd 2.93
Tc 0.0000 0.5000 0.2500 (multiplicity 4)  4 Tc 2.40

Entry 10:
A plane-wave DFT calculation with SCAN was carried out for a crystal of BeCu2 relaxed with PBEsol.

## Properties
- Calculated formation energy: -0.39 eV/f.u.
- Raw total energy: -11.713 eV per atom

a b c (Å): 4.7332 3.6890 6.9309
angles (deg): 90.00 90.00 90.00
With the nearest neighbours (Å) after each atom.
Space group Pnma (No. 62)
Asymmetric unit:
Be 0.1824 0.2500 0.1043 (multiplicity 4)  10 Cu 2.29-2.55
Cu 0.0476 0.2500 0.7806 (multiplicity 4)  5 Be 2.29-2.55, 5 Cu 2.40-2.51
Cu 0.1722 0.2500 0.4355 (multiplicity 4)  5 Be 2.29-2.43, 3 Cu 2.46-2.51

Entry 11:
A plane-wave DFT calculation with SCAN was carried out for a crystal of BaMo2AuN relaxed with PBEsol.

## Properties
- ΔE_f (raw): 0.324 eV per atom
- Raw total energy: -37.229 eV per atom

a b c (Å): 4.1274 4.1274 5.4038
angles (deg): 90.00 90.00 90.00
With the nearest neighbours (Å) after each atom.
Space group P4/mmm (No. 123)
Asymmetric unit:
Ba 0.0000 0.0000 0.0000 (multiplicity 1)  2 N 2.70, 4 Au 2.92
Mo 0.0000 0.5000 0.5000 (multiplicity 2)  2 N 2.06
Au 0.5000 0.5000 0.0000 (multiplicity 1)  4 Ba 2.92
N 0.0000 0.0000 0.5000 (multiplicity 1)  4 Mo 2.06

Entry 12:
A plane-wave DFT calculation with SCAN was carried out for a crystal of BiPHRu2 relaxed with PBEsol.

## Properties
- Raw total energy: -31.492 eV per atom

a b c (Å): 4.1017 4.1017 4.0658
angles (deg): 90.00 90.00 90.00
With the nearest neighbours (Å) after each atom.
Space group P4/mmm (No. 123)
Asymmetric unit:
Bi 0.0000 0.0000 0.0000 (multiplicity 1)  2 H 2.03
P 0.5000 0.5000 0.0000 (multiplicity 1)  8 Ru 2.89, 4 Bi 2.90
H 0.0000 0.0000 0.5000 (multiplicity 1)  2 Bi 2.03, 4 Ru 2.05
Ru 0.0000 0.5000 0.5000 (multiplicity 2)  2 H 2.05

Entry 13:
A plane-wave DFT calculation with SCAN was carried out for a crystal of Re2OsSe relaxed with PBEsol.

## Properties
- ΔE_f (raw): 0.464 eV per atom
- Raw total energy: -58.074 eV per atom

a b c (Å): 2.9091 2.9091 6.7650
angles (deg): 90.00 90.00 90.00
With the nearest neighbours (Å) after each atom.
Space group P4/mmm (No. 123)
Asymmetric unit:
Re 0.0000 0.0000 0.2364 (multiplicity 2)  4 Se 2.61, 4 Os 2.72, 4 Re 2.91
Os 0.5000 0.5000 0.5000 (multiplicity 1)  8 Re 2.72, 4 Os 2.91
Se 0.5000 0.5000 0.0000 (multiplicity 1)  8 Re 2.61, 4 Se 2.91

Entry 14:
A plane-wave DFT calculation with SCAN was carried out for a crystal of LaTcSe2Br relaxed with PBEsol.

## Properties
- ΔE_f (raw): -0.738 eV per atom
- Raw total energy: -28.295 eV per atom

a b c (Å): 4.9043 4.9043 4.8876
angles (deg): 90.00 90.00 90.00
With the nearest neighbours (Å) after each atom.
Space group P4/mmm (No. 123)
Asymmetric unit:
La 0.0000 0.0000 0.0000 (multiplicity 1)  8 Se 3.46, 4 Br 3.47
Tc 0.5000 0.5000 0.5000 (multiplicity 1)  2 Br 2.44, 4 Se 2.45
Se 0.0000 0.5000 0.5000 (multiplicity 2)  2 Tc 2.45
Br 0.5000 0.5000 0.0000 (multiplicity 1)  2 Tc 2.44

Entry 15:
A plane-wave DFT calculation with SCAN was carried out for a crystal of Zr2TcMo relaxed with PBEsol.

## Properties
- Calculated formation energy: -0.91 eV/f.u.
- Raw total energy: -33.064 eV per atom

a b c (Å): 3.2417 4.5464 9.5467
angles (deg): 90.00 90.00 90.00
With the nearest neighbours (Å) after each atom.
Space group Imm2 (No. 44)
Asymmetric unit:
Zr 0.0000 0.0000 0.0000 (multiplicity 2)  4 Mo 2.80, 2 Tc 2.88, 2 Zr 3.03
Zr 0.0000 0.5000 0.2316 (multiplicity 2)  4 Tc 2.80, 2 Mo 2.95, 2 Zr 3.03
Tc 0.0000 0.5000 0.7498 (multiplicity 2)  2 Mo 2.68, 6 Zr 2.80-2.88
Mo 0.0000 0.0000 0.4736 (multiplicity 2)  2 Tc 2.68, 6 Zr 2.80-2.95

Entry 16:
A plane-wave DFT calculation with SCAN was carried out for a crystal of CdGaIO2 relaxed with PBEsol.

## Properties
- ΔE_f (raw): 0.036 eV per atom
- Raw total energy: -19.157 eV per atom

a b c (Å): 4.2025 4.2025 6.2018
angles (deg): 90.00 90.00 90.00
With the nearest neighbours (Å) after each atom.
Space group P4/mmm (No. 123)
Asymmetric unit:
Cd 0.0000 0.0000 0.0000 (multiplicity 1)  4 O 2.10
Ga 0.5000 0.5000 0.5000 (multiplicity 1)  4 I 2.97
I 0.0000 0.0000 0.5000 (multiplicity 1)  4 Ga 2.97, 2 Cd 3.10
O 0.0000 0.5000 0.0000 (multiplicity 2)  2 Cd 2.10

Entry 17:
A plane-wave DFT calculation with SCAN was carried out for a crystal of NaLaGa4S8 relaxed with PBEsol.

## Properties
- ΔE_f (raw): -1.214 eV per atom
- Raw total energy: -14.766 eV per atom

a b c (Å): 12.0802 20.1379 20.1891
angles (deg): 90.00 90.00 90.00
With the nearest neighbours (Å) after each atom.
Space group Fddd (No. 70, origin choice 2)
Asymmetric unit:
Na 0.1250 0.1250 0.3718 (multiplicity 16)  8 S 2.99-3.12
La 0.1250 0.1250 0.1250 (multiplicity 8)  8 S 2.98-3.00
La 0.1250 0.1250 0.6250 (multiplicity 8)  8 S 2.99-3.00
Ga 0.0849 0.3053 0.2501 (multiplicity 32)  4 S 2.25-2.30
Ga 0.1250 0.2604 0.4977 (multiplicity 32)  4 S 2.24-2.30
S 0.0005 0.0927 0.2481 (multiplicity 32)  2 Ga 2.24-2.30
S 0.0020 0.0017 0.0855 (multiplicity 32)  2 Ga 2.29-2.30
S 0.0045 0.0017 0.5851 (multiplicity 32)  2 Ga 2.30
S 0.0152 0.0829 0.7515 (multiplicity 32)  2 Ga 2.25-2.30

Entry 18:
A plane-wave DFT calculation with SCAN was carried out for a crystal of LaNbB2Mo relaxed with PBEsol.

## Properties
- Calculated formation energy: 12.92 eV/f.u.
- Raw total energy: -22.613 eV per atom

a b c (Å): 4.3620 4.3620 4.7581
angles (deg): 90.00 90.00 90.00
With the nearest neighbours (Å) after each atom.
Space group P4/mmm (No. 123)
Asymmetric unit:
La 0.0000 0.0000 0.0000 (multiplicity 1)  4 B 2.18, 2 Mo 2.38
Nb 0.5000 0.5000 0.5000 (multiplicity 1)  4 Mo 3.08, 8 B 3.23
B 0.0000 0.5000 0.0000 (multiplicity 2)  2 La 2.18
Mo 0.0000 0.0000 0.5000 (multiplicity 1)  2 La 2.38

Entry 19:
A plane-wave DFT calculation with SCAN was carried out for a crystal of Cs2LiBr3 relaxed with PBEsol.

## Properties
- ΔE_f (raw): -1.903 eV per atom
- Raw total energy: -24.634 eV per atom

a b c (Å): 4.4052 24.1572 7.8705
angles (deg): 90.00 90.00 90.00
With the nearest neighbours (Å) after each atom.
Space group Cmcm (No. 63)
Asymmetric unit:
Cs 0.0000 0.0052 0.2500 (multiplicity 4)  8 Br 3.58-3.68, 2 Cs 3.94
Cs 0.0000 0.1771 0.7500 (multiplicity 4)  8 Br 3.60-3.99
Li 0.0000 0.3497 0.7500 (multiplicity 4)  4 Br 2.53-2.57
Br 0.0000 0.2051 0.2500 (multiplicity 4)  2 Li 2.57
Br 0.0000 0.4129 0.0057 (multiplicity 8)  1 Li 2.53

Entry 20:
A plane-wave DFT calculation with SCAN was carried out for a crystal of LaZnRh relaxed with PBEsol.

## Properties
- Calculated formation energy: -0.69 eV/f.u.
- Raw total energy: -30.359 eV per atom

a b c (Å): 6.4136 6.4136 6.4136
angles (deg): 90.00 90.00 90.00
With the nearest neighbours (Å) after each atom.
Space group F-43m (No. 216)
Asymmetric unit:
La 0.0000 0.0000 0.0000 (multiplicity 4)  4 Zn 2.78
Zn 0.2500 0.2500 0.2500 (multiplicity 4)  4 Rh 2.78, 4 La 2.78
Rh 0.0000 0.0000 0.5000 (multiplicity 4)  4 Zn 2.78

| no. | D(E_F) (states/eV per cell) |
| --- | --- |
| 1 | 5.5 |
| 2 | 4.4 |
| 3 | 31.3 |
| 4 | 3.7 |
| 5 | 11.8 |
| 6 | 1.0 |
| 7 | 12.3 |
| 8 | 3.8 |
| 9 | 5.3 |
| 10 | 3.0 |
| 11 | 4.2 |
| 12 | 3.9 |
| 13 | 2.7 |
| 14 | 3.2 |
| 15 | 5.2 |
| 16 | 1.8 |
| 17 | 0.0 |
| 18 | 4.3 |
| 19 | 0.0 |
| 20 | 8.6 |